[1]
Compound: NaBPt2
Source: the Alexandria database
Functional: PBE
Structure: relaxed

Cell and atoms, written as POSCAR:
```
NaBPt2
1.0
-2.6283 2.6283 6.3178
2.6283 -2.6283 6.3178
2.6283 2.6283 -6.3178
Na B Pt
2 2 4
Direct
0.0000 0.0000 0.0000
0.7500 0.2500 0.5000
0.2500 0.7500 0.5000
0.5000 0.5000 0.0000
0.3550 0.6250 0.2300
0.3750 0.6050 0.7300
0.3950 0.1250 0.7700
0.8750 0.6450 0.2700
```

The density of states at the Fermi level is 0.2 states/eV/cell. Its symmetry is I-42d, No. 122. The value obtained for the formation energy is -0.1 eV per formula unit. As for the energy: -40.291 eV for the cell shown.



[2]
Compound: NaBPt2
Source: the Alexandria database
Functional: PBE
Structure: relaxed

Cell and atoms, written as POSCAR:
```
NaBPt2
1.0
1.5613 0.9014 7.4694
-1.5613 0.9014 7.4694
0.0000 -1.8028 7.4694
Na B Pt
1 1 2
Direct
0.0000 0.0000 0.0000
0.5000 0.5000 0.5000
0.2206 0.2206 0.2206
0.7794 0.7794 0.7794
```

The density of states at the Fermi level is 0.5 states/eV/cell. Its symmetry is R-3m, No. 166. The value obtained for the formation energy is -0.7 eV per formula unit. As for the energy: -20.807 eV for the cell shown.



[3]
Compound: NaBPt4
Source: the Alexandria database
Functional: PBE
Structure: relaxed

Cell and atoms, written as POSCAR:
```
NaBPt4
1.0
6.8985 -2.8031 0.0000
6.8985 2.8031 0.0000
-1.7599 0.0000 4.6204
Na B Pt
2 2 8
Direct
0.1947 0.1947 0.1947
0.8053 0.8053 0.8053
0.5004 0.5004 0.3179
0.4996 0.4996 0.6821
0.1282 0.6442 0.3861
0.2451 0.7549 0.0000
0.3057 0.3057 0.8053
0.3558 0.8718 0.6139
0.6442 0.1282 0.3861
0.6943 0.6943 0.1947
0.7549 0.2451 0.0000
0.8718 0.3558 0.6139
```

The density of states at the Fermi level is 6.8 states/eV/cell. Its symmetry is C2/m, No. 12. The value obtained for the formation energy is -0.5 eV per formula unit. As for the energy: -65.361 eV for the cell shown.



[4]
Compound: NaBPt3
Source: the Alexandria database
Functional: PBE
Structure: relaxed

Cell and atoms, written as POSCAR:
```
NaBPt3
1.0
4.6105 0.0000 0.0000
0.0000 4.6105 0.0000
0.0000 0.0000 4.6105
Na B Pt
1 1 3
Direct
0.0000 0.0000 0.0000
0.5000 0.5000 0.5000
0.0000 0.0000 0.5000
0.0000 0.5000 0.0000
0.5000 0.0000 0.0000
```

The density of states at the Fermi level is 1.0 states/eV/cell. Its symmetry is Pm-3m, No. 221. The value obtained for the formation energy is 11.4 eV per formula unit. As for the energy: -14.697 eV for the cell shown.



[5]
Compound: NaB2Pt4
Source: the Alexandria database
Functional: PBE
Structure: relaxed

Cell and atoms, written as POSCAR:
```
NaB2Pt4
1.0
-2.2851 2.2851 5.5591
2.2851 -2.2851 5.5591
2.2851 2.2851 -5.5591
Na B Pt
1 2 4
Direct
0.0000 0.0000 0.0000
0.4260 0.4260 0.0000
0.5740 0.5740 0.0000
0.0000 0.5000 0.5000
0.2531 0.2531 0.0000
0.5000 0.0000 0.5000
0.7469 0.7469 0.0000
```

The density of states at the Fermi level is 3.9 states/eV/cell. Its symmetry is I4/mmm, No. 139. The value obtained for the formation energy is 6.1 eV per formula unit. As for the energy: -32.786 eV for the cell shown.



[6]
Compound: Na2B2Pt3
Source: the Alexandria database
Functional: PBE
Structure: relaxed

Cell and atoms, written as POSCAR:
```
Na2B2Pt3
1.0
5.4213 -1.9928 0.0000
5.4213 1.9928 0.0000
-3.0284 0.0000 5.5250
Na B Pt
2 2 3
Direct
0.1357 0.1357 0.2894
0.8643 0.8643 0.7106
0.3785 0.3785 0.1280
0.6215 0.6215 0.8720
0.1723 0.1723 0.8383
0.5000 0.5000 0.5000
0.8277 0.8277 0.1617
```

The density of states at the Fermi level is 0.9 states/eV/cell. Its symmetry is C2/m, No. 12. The value obtained for the formation energy is -2.0 eV per formula unit. As for the energy: -36.118 eV for the cell shown.



[7]
Compound: NaB4Pt12
Source: the Alexandria database
Functional: PBE
Structure: relaxed

Cell and atoms, written as POSCAR:
```
NaB4Pt12
1.0
-3.9482 3.9482 3.9482
3.9482 -3.9482 3.9482
3.9482 3.9482 -3.9482
Na B Pt
1 4 12
Direct
0.0000 0.0000 0.0000
0.0000 0.0000 0.5000
0.0000 0.5000 0.0000
0.5000 0.0000 0.0000
0.5000 0.5000 0.5000
0.1473 0.8250 0.3223
0.1750 0.3223 0.4973
0.1750 0.6777 0.8527
0.3223 0.1473 0.8250
0.3223 0.4973 0.1750
0.4973 0.1750 0.3223
0.5027 0.8250 0.6777
0.6777 0.5027 0.8250
0.6777 0.8527 0.1750
0.8250 0.3223 0.1473
0.8250 0.6777 0.5027
0.8527 0.1750 0.6777
```

The density of states at the Fermi level is 11.4 states/eV/cell. Its symmetry is Im-3, No. 204. The value obtained for the formation energy is -3.0 eV per formula unit. As for the energy: -103.522 eV for the cell shown.



[8]
Compound: Na2B2Pt3
Source: the Alexandria database
Functional: PBE
Structure: relaxed

Cell and atoms, written as POSCAR:
```
Na2B2Pt3
1.0
5.1252 -1.6509 0.0000
5.1252 1.6509 0.0000
-3.8946 0.0000 6.1604
Na B Pt
2 2 3
Direct
0.1615 0.1615 0.2993
0.8385 0.8385 0.7007
0.1213 0.1213 0.7604
0.8787 0.8787 0.2396
0.3774 0.3774 0.0572
0.5000 0.5000 0.5000
0.6226 0.6226 0.9428
```

The density of states at the Fermi level is 2.7 states/eV/cell. Its symmetry is C2/m, No. 12. The value obtained for the formation energy is -1.1 eV per formula unit. As for the energy: -35.206 eV for the cell shown.